Below is CdMoW2 after structural relaxation, with properties calculated at the PBE level.

The structure belongs to space group Cm (No. 8); the cell edges are 9.578, 2.709 and 5.260 Å and the angles 90.00°, 96.05° and 90.00°. The inequivalent atoms are Cd at (0.000, 0.000, 0.000), Mo at (0.251, 0.500, 0.251), W at (0.001, 0.500, 0.499) and W at (0.249, 0.000, 0.742).

The value obtained for the electronic total energy is -8.86 eV/atom. For the density of states at the Fermi level, the calculation gives 2.2 states/eV/f.u. Its theoretical density is 14.09 g/cm³. The magnetic moment comes out at 0.000 μB/cell.

***

Below is Li2Zn5Cu4 after structural relaxation, with properties calculated at the PBE level.

The structure belongs to space group C2/m (No. 12); the cell edges are 8.615, 3.831 and 9.079 Å and the angles 90.00°, 102.99° and 90.00°. The inequivalent atoms are Li at (0.086, 0.000, 0.142), Zn at (0.000, 0.000, 0.500), Zn at (0.139, 0.500, 0.950), Zn at (0.229, 0.500, 0.597), Cu at (0.042, 0.500, 0.321) and Cu at (0.187, 0.000, 0.774).

Its excess energy over the best structure of this formula in the dataset is 0 meV per atom. For the density of states at the Fermi level, the calculation gives 2.8 states/eV/f.u. Its theoretical density is 6.77 g/cm³. The magnetic moment comes out at 0.000 μB/cell.

***

Below is La2OsBr after structural relaxation, with properties calculated at the PBE level.

The structure belongs to space group R3m (No. 160, hexagonal axes); the cell edges are 4.1823, 4.1823 and 23.8851 Å and the angles 90.00°, 90.00° and 120.00°. The inequivalent atoms are La at (0.0000, 0.0000, 0.0000), La at (0.0000, 0.0000, 0.2046), Os at (0.0000, 0.0000, 0.6018) and Br at (0.0000, 0.0000, 0.7714).

Its excess energy over the best structure of this formula in the dataset is 26 meV per atom. For the density of states at the Fermi level, the calculation gives 3.0 states/eV/f.u. Its theoretical density is 7.54 g/cm³. The magnetic moment comes out at 0.000 μB/cell. The energy relative to the elements, uncorrected comes out at -3.1 eV per formula unit.

***

Below is GdMgHgPt after structural relaxation, with properties calculated at the PBE level.

The structure belongs to space group F-43m (No. 216); the cell edges are 6.996, 6.996 and 6.996 Å and the angles 90.00°, 90.00° and 90.00°. The inequivalent atoms are Gd at (0.000, 0.000, 0.000), Mg at (0.000, 0.000, 0.500), Hg at (0.250, 0.250, 0.750) and Pt at (0.250, 0.250, 0.250).

The value obtained for the electronic total energy is -6.19 eV/atom. For the density of states at the Fermi level, the calculation gives 3.5 states/eV/f.u. Its theoretical density is 11.20 g/cm³. The magnetic moment comes out at 29.042 μB/cell.

***

Below is La2PW after structural relaxation, with properties calculated at the PBE level.

The structure belongs to space group Amm2 (No. 38); the cell edges are 4.196, 4.417 and 10.931 Å and the angles 90.00°, 90.00° and 90.00°. The inequivalent atoms are La at (0.000, 0.000, 0.000), La at (0.500, 0.000, 0.280), P at (0.000, 0.000, 0.697) and W at (0.500, 0.000, 0.579).

Its excess energy over the best structure of this formula in the dataset is 0 meV per atom. For the density of states at the Fermi level, the calculation gives 3.6 states/eV/f.u. Its theoretical density is 8.08 g/cm³. The magnetic moment comes out at 0.000 μB/cell.

***

Below is SrGdPbAu after structural relaxation, with properties calculated at the PBE level.

The structure belongs to space group F-43m (No. 216); the cell edges are 7.735, 7.735 and 7.735 Å and the angles 90.00°, 90.00° and 90.00°. The inequivalent atoms are Sr at (0.000, 0.000, 0.000), Gd at (0.000, 0.000, 0.500), Pb at (0.250, 0.250, 0.250) and Au at (0.250, 0.250, 0.750).

The value obtained for the electronic total energy is -6.30 eV/atom. For the density of states at the Fermi level, the calculation gives 3.8 states/eV/f.u. Its theoretical density is 9.32 g/cm³. The magnetic moment comes out at 27.661 μB/cell.

***

Below is YZn3Pt after structural relaxation, with properties calculated at the PBE level.

The structure belongs to space group Pm-3m (No. 221); the cell edges are 5.341, 5.341 and 5.341 Å and the angles 90.00°, 90.00° and 90.00°. The inequivalent atoms are Y at (0.000, 0.000, 0.000), Zn at (0.000, 0.000, 0.500) and Pt at (0.500, 0.500, 0.500).

Its excess energy over the best structure of this formula in the dataset is 1881 meV per atom. For the density of states at the Fermi level, the calculation gives 3.4 states/eV/f.u. Its theoretical density is 5.23 g/cm³. The magnetic moment comes out at 0.000 μB/cell.

***

Below is Rb5CrS4 after structural relaxation, with properties calculated at the PBE level.

The structure belongs to space group C2/m (No. 12); the cell edges are 19.238, 4.320 and 8.293 Å and the angles 90.00°, 105.60° and 90.00°. The inequivalent atoms are Rb at (0.000, 0.000, 0.000), Rb at (0.155, 0.500, 0.860), Rb at (0.172, 0.500, 0.365), Cr at (0.000, 0.000, 0.500), S at (0.005, 0.500, 0.308) and S at (0.138, 0.000, 0.598).

Its excess energy over the best structure of this formula in the dataset is 248 meV per atom. For the density of states at the Fermi level, the calculation gives 0.3 states/eV/f.u. Its theoretical density is 3.04 g/cm³. The magnetic moment comes out at 5.988 μB/cell. The energy relative to the elements, uncorrected comes out at -6.5 eV per formula unit.

***

Below is Y2SiW after structural relaxation, with properties calculated at the PBE level.

The structure belongs to space group R-3m (No. 166, hexagonal axes); the cell edges are 3.2960, 3.2960 and 28.2486 Å and the angles 90.00°, 90.00° and 120.00°. The inequivalent atoms are Y at (0.0000, 0.0000, 0.2478), Si at (0.0000, 0.0000, 0.5000) and W at (0.0000, 0.0000, 0.0000).

For the density of states at the Fermi level, the calculation gives 3.9 states/eV/f.u. Its theoretical density is 7.31 g/cm³. The magnetic moment comes out at 0.000 μB/cell. The energy relative to the elements, uncorrected comes out at 1.4 eV per formula unit.

***

Below is Ba2ZnW after structural relaxation, with properties calculated at the PBE level.

The structure belongs to space group P2/m (No. 10); the cell edges are 3.412, 3.774 and 9.405 Å and the angles 90.00°, 90.07° and 90.00°. The inequivalent atoms are Ba at (0.000, 0.000, 0.240), Zn at (0.500, 0.500, 0.500) and W at (0.500, 0.500, 0.000).

The value obtained for the electronic total energy is -3.53 eV/atom. For the density of states at the Fermi level, the calculation gives 4.5 states/eV/f.u. Its theoretical density is 7.18 g/cm³. The magnetic moment comes out at 0.820 μB/cell.

***

Below is CsHPtF6 after structural relaxation, with properties calculated at the PBE level.

The structure belongs to space group P1 (No. 1); the cell edges are 4.897, 5.731 and 6.088 Å and the angles 78.51°, 80.46° and 67.44°. The inequivalent atoms are Cs at (0.000, 0.000, 0.000), H at (0.882, 0.642, 0.630), Pt at (0.505, 0.481, 0.477), F at (0.075, 0.715, 0.565), F at (0.372, 0.382, 0.242), F at (0.446, 0.207, 0.710), F at (0.565, 0.758, 0.250), F at (0.677, 0.589, 0.710) and F at (0.905, 0.259, 0.404).

The value obtained for the electronic total energy is -4.18 eV/atom. For the density of states at the Fermi level, the calculation gives 0.0 states/eV/f.u. Its theoretical density is 4.78 g/cm³. The magnetic moment comes out at 0.000 μB/cell.

***

Below is ScHIO2 after structural relaxation, with properties calculated at the PBE level.

The structure belongs to space group P4/mmm (No. 123); the cell edges are 3.934, 3.934 and 6.599 Å and the angles 90.00°, 90.00° and 90.00°. The inequivalent atoms are Sc at (0.000, 0.000, 0.000), H at (0.500, 0.500, 0.500), I at (0.000, 0.000, 0.500) and O at (0.000, 0.500, 0.000).

Its excess energy over the best structure of this formula in the dataset is 0 meV per atom. For the density of states at the Fermi level, the calculation gives 4.9 states/eV/f.u. Its theoretical density is 3.33 g/cm³. The magnetic moment comes out at 0.000 μB/cell.

***

Below is Tb6S5N after structural relaxation, with properties calculated at the PBE level.

The structure belongs to space group C2/m (No. 12); the cell edges are 6.671, 11.596 and 6.717 Å and the angles 90.00°, 109.38° and 90.00°. The inequivalent atoms are Tb at (0.229, 0.153, 0.226), Tb at (0.232, 0.000, 0.770), S at (0.000, 0.172, 0.500), S at (0.000, 0.333, 0.000), S at (0.000, 0.500, 0.500) and N at (0.000, 0.000, 0.000).

For the density of states at the Fermi level, the calculation gives 3.7 states/eV/f.u. Its theoretical density is 7.64 g/cm³. The magnetic moment comes out at 0.000 μB/cell. The energy relative to the elements, uncorrected comes out at -23.2 eV per formula unit.